No. 1
DFT (PBE) results for an optimized crystal structure of Ca2ZrBe.

It has space group Imm2 (No. 44), with a = 3.376 Å, b = 5.356 Å, c = 11.567 Å, α = 90.00°, β = 90.00° and γ = 90.00°. The asymmetric unit holds Ca at (0.000, 0.000, 0.000), Ca at (0.000, 0.500, 0.202), Zr at (0.000, 0.000, 0.390) and Be at (0.000, 0.500, 0.723).

The calculation puts the total energy at -29.684 eV/cell. The calculation puts the magnetic moment at 0.000 μB/cell. The value obtained for the energy relative to the elements is 359 meV/atom.


No. 2
DFT (PBE) results for an optimized crystal structure of Ca2ZrBe.

It has space group I-42d (No. 122), with a = 8.449 Å, b = 8.449 Å, c = 5.944 Å, α = 90.00°, β = 90.00° and γ = 90.00°. The asymmetric unit holds Ca at (0.191, 0.250, 0.125), Zr at (0.000, 0.000, 0.500) and Be at (0.000, 0.000, 0.000).

The calculation puts the total energy at -53.559 eV/cell. The calculation puts the magnetic moment at 7.618 μB/cell. The value obtained for the energy relative to the elements is 722 meV/atom.


No. 3
DFT (PBE) results for an optimized crystal structure of CaZrBe.

It has space group I4mm (No. 107), with a = 3.274 Å, b = 3.274 Å, c = 12.410 Å, α = 90.00°, β = 90.00° and γ = 90.00°. The asymmetric unit holds Ca at (0.000, 0.000, 0.000), Zr at (0.000, 0.000, 0.730) and Be at (0.000, 0.000, 0.335).

The calculation puts the total energy at -27.312 eV/cell. The calculation puts the magnetic moment at 0.000 μB/cell. The value obtained for the energy above the most stable polymorph in this dataset is 15.9 meV/atom. The value obtained for the energy relative to the elements is 207 meV/atom.


No. 4
DFT (PBE) results for an optimized crystal structure of CaZrBe3.

It has space group Pm-3m (No. 221), with a = 4.809 Å, b = 4.809 Å, c = 4.809 Å, α = 90.00°, β = 90.00° and γ = 90.00°. The asymmetric unit holds Ca at (0.000, 0.000, 0.000), Zr at (0.500, 0.500, 0.500) and Be at (0.000, 0.500, 0.500).

The calculation puts the total energy at -16.275 eV/cell. The calculation puts the magnetic moment at 1.456 μB/cell. The value obtained for the energy above the most stable polymorph in this dataset is 0.0 meV/atom. The value obtained for the energy relative to the elements is 1091 meV/atom.


No. 5
DFT (PBE) results for an optimized crystal structure of CaZr3Be.

It has space group Pm-3m (No. 221), with a = 4.936 Å, b = 4.936 Å, c = 4.936 Å, α = 90.00°, β = 90.00° and γ = 90.00°. The asymmetric unit holds Ca at (0.000, 0.000, 0.000), Zr at (0.000, 0.500, 0.500) and Be at (0.500, 0.500, 0.500).

The calculation puts the total energy at -29.392 eV/cell. The calculation puts the magnetic moment at 0.000 μB/cell. The value obtained for the energy above the most stable polymorph in this dataset is 0.0 meV/atom. The value obtained for the energy relative to the elements is 396 meV/atom.


No. 6
DFT (PBE) results for an optimized crystal structure of CaZrBe.

It has space group P3m1 (No. 156), with a = 3.4463 Å, b = 3.4463 Å, c = 6.8354 Å, α = 90.00°, β = 90.00° and γ = 120.00°. The asymmetric unit holds Ca at (0.0000, 0.0000, 0.0000), Zr at (0.6667, 0.3333, 0.4462) and Be at (0.3333, 0.6667, 0.6914).

The calculation puts the total energy at -12.815 eV/cell. The calculation puts the magnetic moment at 0.001 μB/cell. The value obtained for the energy above the most stable polymorph in this dataset is 296.1 meV/atom. The value obtained for the energy relative to the elements is 487 meV/atom.


No. 7
DFT (PBE) results for an optimized crystal structure of CaZrBe.

It has space group F-43m (No. 216), with a = 6.573 Å, b = 6.573 Å, c = 6.573 Å, α = 90.00°, β = 90.00° and γ = 90.00°. The asymmetric unit holds Ca at (0.000, 0.000, 0.000), Zr at (0.000, 0.000, 0.500) and Be at (0.250, 0.250, 0.250).

The calculation puts the total energy at -49.491 eV/cell. The calculation puts the magnetic moment at 0.000 μB/cell. The value obtained for the energy above the most stable polymorph in this dataset is 443.7 meV/atom. The value obtained for the energy relative to the elements is 634 meV/atom.


No. 8
DFT (PBE) results for an optimized crystal structure of Ca2ZrBe.

It has space group Pm (No. 6), with a = 3.369 Å, b = 3.368 Å, c = 9.246 Å, α = 90.00°, β = 90.05° and γ = 90.00°. The asymmetric unit holds Ca at (0.000, 0.000, 0.000), Ca at (0.498, 0.500, 0.356), Zr at (0.499, 0.500, 0.708) and Be at (0.999, 0.000, 0.570).

The calculation puts the total energy at -15.485 eV/cell. The calculation puts the magnetic moment at 0.000 μB/cell. The value obtained for the energy relative to the elements is 198 meV/atom.


No. 9
DFT (PBE) results for an optimized crystal structure of Ca4ZrBe.

It has space group F-43m (No. 216), with a = 9.193 Å, b = 9.193 Å, c = 9.193 Å, α = 90.00°, β = 90.00° and γ = 90.00°. The asymmetric unit holds Ca at (0.125, 0.125, 0.125), Zr at (0.250, 0.250, 0.750) and Be at (0.000, 0.000, 0.500).

The calculation puts the total energy at -58.368 eV/cell. The calculation puts the magnetic moment at 15.325 μB/cell. The value obtained for the energy relative to the elements is 948 meV/atom.


No. 10
DFT (PBE) results for an optimized crystal structure of CaZr2Be2.

It has space group P4/mbm (No. 127), with a = 7.668 Å, b = 7.668 Å, c = 3.240 Å, α = 90.00°, β = 90.00° and γ = 90.00°. The asymmetric unit holds Ca at (0.000, 0.000, 0.000), Zr at (0.169, 0.331, 0.500) and Be at (0.115, 0.615, 0.000).

The calculation puts the total energy at -50.847 eV/cell. The calculation puts the magnetic moment at 0.001 μB/cell. The value obtained for the energy relative to the elements is 225 meV/atom.


No. 11
DFT (PBE) results for an optimized crystal structure of CaZr4Be.

It has space group F-43m (No. 216), with a = 8.345 Å, b = 8.345 Å, c = 8.345 Å, α = 90.00°, β = 90.00° and γ = 90.00°. The asymmetric unit holds Ca at (0.000, 0.000, 0.000), Zr at (0.125, 0.125, 0.625) and Be at (0.250, 0.250, 0.250).

The calculation puts the total energy at -145.066 eV/cell. The calculation puts the magnetic moment at 0.000 μB/cell. The value obtained for the energy relative to the elements is 609 meV/atom.


No. 12
DFT (PBE) results for an optimized crystal structure of Ca2ZrBe.

It has space group P4/mmm (No. 123), with a = 3.335 Å, b = 3.335 Å, c = 9.059 Å, α = 90.00°, β = 90.00° and γ = 90.00°. The asymmetric unit holds Ca at (0.000, 0.000, 0.206), Zr at (0.500, 0.500, 0.500) and Be at (0.500, 0.500, 0.000).

The calculation puts the total energy at -14.455 eV/cell. The calculation puts the magnetic moment at 0.000 μB/cell. The value obtained for the energy relative to the elements is 456 meV/atom.


No. 13
DFT (PBE) results for an optimized crystal structure of Ca2ZrBe.

It has space group R-3m (No. 166, hexagonal axes), with a = 3.4676 Å, b = 3.4676 Å, c = 30.4090 Å, α = 90.00°, β = 90.00° and γ = 120.00°. The asymmetric unit holds Ca at (0.0000, 0.0000, 0.2383), Zr at (0.0000, 0.0000, 0.0000) and Be at (0.0000, 0.0000, 0.5000).

The calculation puts the total energy at -41.675 eV/cell. The calculation puts the magnetic moment at 0.036 μB/cell. The value obtained for the energy relative to the elements is 596 meV/atom.


No. 14
DFT (PBE) results for an optimized crystal structure of CaZrBe3.

It has space group Pm-3m (No. 221), with a = 4.478 Å, b = 4.478 Å, c = 4.478 Å, α = 90.00°, β = 90.00° and γ = 90.00°. The asymmetric unit holds Ca at (0.000, 0.000, 0.000), Zr at (0.500, 0.500, 0.500) and Be at (0.000, 0.000, 0.500).

The calculation puts the total energy at -13.860 eV/cell. The calculation puts the magnetic moment at 0.000 μB/cell. The value obtained for the energy above the most stable polymorph in this dataset is 483.0 meV/atom. The value obtained for the energy relative to the elements is 1574 meV/atom.